Entry 1:
Here is an optimized crystal structure of POsRhO2 from the Alexandria database. Energies are from PBE.

It has space group P4/mmm (No. 123), with a = 3.664 Å, b = 3.664 Å, c = 5.477 Å, α = 90.00°, β = 90.00° and γ = 90.00°. The asymmetric unit holds P at (0.000, 0.000, 0.000), Os at (0.000, 0.000, 0.500), Rh at (0.500, 0.500, 0.000) and O at (0.000, 0.500, 0.500).

The value obtained for the formation energy without anion corrections is -0.18 eV/atom. The value obtained for the magnetic moment is 0.69 μB per cell. The energy above the lowest structure with this stoichiometry comes out at 0.00 eV per formula unit. As for the density of states at the Fermi level: 4.13 states/eV/f.u.

Entry 2:
Here is an optimized crystal structure of POsRuO2 from the Alexandria database. Energies are from PBE.

It has space group P4/mmm (No. 123), with a = 3.625 Å, b = 3.625 Å, c = 5.886 Å, α = 90.00°, β = 90.00° and γ = 90.00°. The asymmetric unit holds P at (0.000, 0.000, 0.000), Os at (0.500, 0.500, 0.000), Ru at (0.000, 0.000, 0.500) and O at (0.000, 0.500, 0.500).

The value obtained for the formation energy without anion corrections is 0.33 eV/atom. The value obtained for the magnetic moment is 1.82 μB per cell. The energy above the lowest structure with this stoichiometry comes out at 1.55 eV per formula unit. As for the density of states at the Fermi level: 5.21 states/eV/f.u.

Entry 3:
Here is an optimized crystal structure of POsRuO2 from the Alexandria database. Energies are from PBE.

It has space group P4/mmm (No. 123), with a = 3.660 Å, b = 3.660 Å, c = 5.640 Å, α = 90.00°, β = 90.00° and γ = 90.00°. The asymmetric unit holds P at (0.000, 0.000, 0.000), Os at (0.000, 0.000, 0.500), Ru at (0.500, 0.500, 0.000) and O at (0.000, 0.500, 0.500).

The value obtained for the formation energy without anion corrections is 0.02 eV/atom. The value obtained for the magnetic moment is 1.74 μB per cell. The energy above the lowest structure with this stoichiometry comes out at 0.00 eV per formula unit. As for the density of states at the Fermi level: 4.44 states/eV/f.u.

Entry 4:
Here is an optimized crystal structure of P2OsRuO from the Alexandria database. Energies are from PBE.

It has space group P4/mmm (No. 123), with a = 4.728 Å, b = 4.728 Å, c = 3.593 Å, α = 90.00°, β = 90.00° and γ = 90.00°. The asymmetric unit holds P at (0.000, 0.500, 0.000), Os at (0.000, 0.000, 0.000), Ru at (0.500, 0.500, 0.500) and O at (0.000, 0.000, 0.500).

The value obtained for the formation energy without anion corrections is 0.54 eV/atom. The value obtained for the magnetic moment is 1.32 μB per cell. The energy above the lowest structure with this stoichiometry comes out at 0.00 eV per formula unit. As for the density of states at the Fermi level: 6.02 states/eV/f.u.

Entry 5:
Here is an optimized crystal structure of P2OsRuO from the Alexandria database. Energies are from PBE.

It has space group P4/mmm (No. 123), with a = 4.705 Å, b = 4.705 Å, c = 3.521 Å, α = 90.00°, β = 90.00° and γ = 90.00°. The asymmetric unit holds P at (0.000, 0.500, 0.000), Os at (0.000, 0.000, 0.500), Ru at (0.500, 0.500, 0.000) and O at (0.500, 0.500, 0.500).

The value obtained for the formation energy without anion corrections is 0.74 eV/atom. The value obtained for the magnetic moment is 0.66 μB per cell. The energy above the lowest structure with this stoichiometry comes out at 1.00 eV per formula unit. As for the density of states at the Fermi level: 5.61 states/eV/f.u.

Entry 6:
Here is an optimized crystal structure of POsSO2 from the Alexandria database. Energies are from PBE.

It has space group P4/mmm (No. 123), with a = 3.370 Å, b = 3.370 Å, c = 8.031 Å, α = 90.00°, β = 90.00° and γ = 90.00°. The asymmetric unit holds P at (0.000, 0.000, 0.000), Os at (0.500, 0.500, 0.000), S at (0.000, 0.000, 0.500) and O at (0.000, 0.500, 0.500).

The value obtained for the formation energy without anion corrections is 0.63 eV/atom. The value obtained for the magnetic moment is 0.18 μB per cell. As for the density of states at the Fermi level: 4.33 states/eV/f.u.

Number 1: ρ 8041 kg/m3. Number 2: ρ 7607 kg/m3. Number 3: ρ 7787 kg/m3. Number 4: ρ 7633 kg/m3. Number 5: ρ 7866 kg/m3. Number 6: ρ 5193 kg/m3.